A plane-wave DFT calculation with PBE-GGA was carried out for a relaxed structure of RbReHPb2.

Output
* space-group type: No. 123
* VASP energy: -2.878 eV per atom
* M_tot: 3.3 μB per formula unit

a = 6.183 Å, b = 6.183 Å, c = 3.615 Å
α = 90.00°, β = 90.00°, γ = 90.00°
Positions (direct):
Rb (0.000, 0.000, 0.000)
Re (0.500, 0.500, 0.500)
H (0.000, 0.000, 0.500)
Pb (0.000, 0.500, 0.000)
Pb (0.500, 0.000, 0.000)